No. 1
## BeGa3Co (PBE)

Data for a geometry-optimized BeGa3Co structure.

Excess energy over the best structure of this formula in the dataset, meV per atom: 282
DFT formation energy, meV/atom: 654

Cell and atoms, written as CIF:
```
data_BeGa3Co
_symmetry_space_group_name_H-M 'P m -3 m'
_symmetry_Int_Tables_number 221
_symmetry_space_group_name_Hall '-P 4 2 3'
_cell_length_a 4.3567
_cell_length_b 4.3567
_cell_length_c 4.3567
_cell_angle_alpha 90.00
_cell_angle_beta 90.00
_cell_angle_gamma 90.00
loop_
_atom_site_label
_atom_site_type_symbol
_atom_site_fract_x
_atom_site_fract_y
_atom_site_fract_z
_atom_site_occupancy
Be1 Be 0.0000 0.0000 0.0000 1
Ga1 Ga 0.0000 0.0000 0.5000 1
Co1 Co 0.5000 0.5000 0.5000 1
```

No. 2
## BeGaCo2 (PBE)

Data for a geometry-optimized BeGaCo2 structure.

Excess energy over the best structure of this formula in the dataset, meV per atom: 25
DFT formation energy, meV/atom: -259

Cell and atoms, written as CIF:
```
data_BeGaCo2
_symmetry_space_group_name_H-M 'P 4/m m m'
_symmetry_Int_Tables_number 123
_symmetry_space_group_name_Hall '-P 4 2'
_cell_length_a 3.8721
_cell_length_b 3.8721
_cell_length_c 2.7970
_cell_angle_alpha 90.00
_cell_angle_beta 90.00
_cell_angle_gamma 90.00
loop_
_atom_site_label
_atom_site_type_symbol
_atom_site_fract_x
_atom_site_fract_y
_atom_site_fract_z
_atom_site_occupancy
Be1 Be 0.0000 0.0000 0.0000 1
Ga1 Ga 0.5000 0.5000 0.0000 1
Co1 Co 0.0000 0.5000 0.5000 1
```

No. 3
## BeGaCo2 (PBE)

Data for a geometry-optimized BeGaCo2 structure.

Excess energy over the best structure of this formula in the dataset, meV per atom: 580
DFT formation energy, meV/atom: 296

Cell and atoms, written as CIF:
```
data_BeGaCo2
_symmetry_space_group_name_H-M 'I -4 2 d'
_symmetry_Int_Tables_number 122
_symmetry_space_group_name_Hall 'I -4 2bw'
_cell_length_a 3.4917
_cell_length_b 3.4917
_cell_length_c 16.1228
_cell_angle_alpha 90.00
_cell_angle_beta 90.00
_cell_angle_gamma 90.00
loop_
_atom_site_label
_atom_site_type_symbol
_atom_site_fract_x
_atom_site_fract_y
_atom_site_fract_z
_atom_site_occupancy
Be1 Be 0.0000 0.0000 0.0000 1
Ga1 Ga 0.0000 0.0000 0.5000 1
Co1 Co 0.2033 0.2500 0.1250 1
```

No. 4
## Hf2BeGa2Co5 (PBE)

Data for a geometry-optimized Hf2BeGa2Co5 structure.

DFT formation energy, meV/atom: -183

Cell and atoms, written as CIF:
```
data_Hf2BeGa2Co5
_symmetry_space_group_name_H-M 'P 4/m b m'
_symmetry_Int_Tables_number 127
_symmetry_space_group_name_Hall '-P 4 2ab'
_cell_length_a 9.1310
_cell_length_b 9.1310
_cell_length_c 3.1809
_cell_angle_alpha 90.00
_cell_angle_beta 90.00
_cell_angle_gamma 90.00
loop_
_atom_site_label
_atom_site_type_symbol
_atom_site_fract_x
_atom_site_fract_y
_atom_site_fract_z
_atom_site_occupancy
Hf1 Hf 0.1702 0.3298 0.0000 1
Be1 Be 0.0000 0.0000 0.0000 1
Ga1 Ga 0.1302 0.6302 0.0000 1
Co1 Co 0.0000 0.5000 0.5000 1
Co2 Co 0.0507 0.8061 0.5000 1
```

No. 5
## Hf2Be2GaCo5 (PBE)

Data for a geometry-optimized Hf2Be2GaCo5 structure.

DFT formation energy, meV/atom: -446

Cell and atoms, written as CIF:
```
data_Hf2Be2GaCo5
_symmetry_space_group_name_H-M 'P 4/m b m'
_symmetry_Int_Tables_number 127
_symmetry_space_group_name_Hall '-P 4 2ab'
_cell_length_a 8.7667
_cell_length_b 8.7667
_cell_length_c 3.1194
_cell_angle_alpha 90.00
_cell_angle_beta 90.00
_cell_angle_gamma 90.00
loop_
_atom_site_label
_atom_site_type_symbol
_atom_site_fract_x
_atom_site_fract_y
_atom_site_fract_z
_atom_site_occupancy
Hf1 Hf 0.1773 0.3227 0.0000 1
Be1 Be 0.1182 0.6182 0.0000 1
Ga1 Ga 0.0000 0.0000 0.0000 1
Co1 Co 0.0000 0.5000 0.5000 1
Co2 Co 0.0670 0.7848 0.5000 1
```

No. 6
## HoBeGa2Co2 (PBE)

Data for a geometry-optimized HoBeGa2Co2 structure.

DFT formation energy, meV/atom: -347

Cell and atoms, written as CIF:
```
data_HoBeGa2Co2
_symmetry_space_group_name_H-M 'P 4/m m m'
_symmetry_Int_Tables_number 123
_symmetry_space_group_name_Hall '-P 4 2'
_cell_length_a 4.0340
_cell_length_b 4.0340
_cell_length_c 5.4207
_cell_angle_alpha 90.00
_cell_angle_beta 90.00
_cell_angle_gamma 90.00
loop_
_atom_site_label
_atom_site_type_symbol
_atom_site_fract_x
_atom_site_fract_y
_atom_site_fract_z
_atom_site_occupancy
Ho1 Ho 0.0000 0.0000 0.0000 1
Be1 Be 0.0000 0.0000 0.5000 1
Ga1 Ga 0.5000 0.5000 0.2395 1
Co1 Co 0.0000 0.5000 0.5000 1
```

No. 7
## BeGaCo2I (PBE)

Data for a geometry-optimized BeGaCo2I structure.

Formation energy (no corrections), eV per atom: 1.6464

Cell and atoms, written as CIF:
```
data_BeGaCo2I
_symmetry_space_group_name_H-M 'P 4/m m m'
_symmetry_Int_Tables_number 123
_symmetry_space_group_name_Hall '-P 4 2'
_cell_length_a 4.6275
_cell_length_b 4.6275
_cell_length_c 5.8992
_cell_angle_alpha 90.00
_cell_angle_beta 90.00
_cell_angle_gamma 90.00
loop_
_atom_site_label
_atom_site_type_symbol
_atom_site_fract_x
_atom_site_fract_y
_atom_site_fract_z
_atom_site_occupancy
Be1 Be 0.0000 0.0000 0.0000 1
Ga1 Ga 0.5000 0.5000 0.0000 1
Co1 Co 0.0000 0.5000 0.5000 1
I1 I 0.5000 0.5000 0.5000 1
```

No. 8
## LaBeGa2Co (PBE)

Data for a geometry-optimized LaBeGa2Co structure.

DFT formation energy, meV/atom: -349

Cell and atoms, written as CIF:
```
data_LaBeGa2Co
_symmetry_space_group_name_H-M 'P 4/m m m'
_symmetry_Int_Tables_number 123
_symmetry_space_group_name_Hall '-P 4 2'
_cell_length_a 4.5466
_cell_length_b 4.5466
_cell_length_c 4.3094
_cell_angle_alpha 90.00
_cell_angle_beta 90.00
_cell_angle_gamma 90.00
loop_
_atom_site_label
_atom_site_type_symbol
_atom_site_fract_x
_atom_site_fract_y
_atom_site_fract_z
_atom_site_occupancy
La1 La 0.0000 0.0000 0.0000 1
Be1 Be 0.5000 0.5000 0.0000 1
Ga1 Ga 0.0000 0.5000 0.5000 1
Co1 Co 0.5000 0.5000 0.5000 1
```

No. 9
## BeGaCoNi (PBE)

Data for a geometry-optimized BeGaCoNi structure.

DFT formation energy, meV/atom: -325

Cell and atoms, written as CIF:
```
data_BeGaCoNi
_symmetry_space_group_name_H-M 'F -4 3 m'
_symmetry_Int_Tables_number 216
_symmetry_space_group_name_Hall 'F -4 2 3'
_cell_length_a 5.5379
_cell_length_b 5.5379
_cell_length_c 5.5379
_cell_angle_alpha 90.00
_cell_angle_beta 90.00
_cell_angle_gamma 90.00
loop_
_atom_site_label
_atom_site_type_symbol
_atom_site_fract_x
_atom_site_fract_y
_atom_site_fract_z
_atom_site_occupancy
Be1 Be 0.0000 0.0000 0.0000 1
Ga1 Ga 0.0000 0.0000 0.5000 1
Co1 Co 0.2500 0.2500 0.7500 1
Ni1 Ni 0.2500 0.2500 0.2500 1
```

No. 10
## Pa2BeGaCo6 (PBE)

Data for a geometry-optimized Pa2BeGaCo6 structure.

DFT formation energy, meV/atom: 0

Cell and atoms, written as CIF:
```
data_Pa2BeGaCo6
_symmetry_space_group_name_H-M 'F m -3 m'
_symmetry_Int_Tables_number 225
_symmetry_space_group_name_Hall '-F 4 2 3'
_cell_length_a 8.2928
_cell_length_b 8.2928
_cell_length_c 8.2928
_cell_angle_alpha 90.00
_cell_angle_beta 90.00
_cell_angle_gamma 90.00
loop_
_atom_site_label
_atom_site_type_symbol
_atom_site_fract_x
_atom_site_fract_y
_atom_site_fract_z
_atom_site_occupancy
Pa1 Pa 0.2500 0.2500 0.2500 1
Be1 Be 0.0000 0.0000 0.0000 1
Ga1 Ga 0.0000 0.0000 0.5000 1
Co1 Co 0.0000 0.0000 0.2344 1
```

No. 11
## Pa2Be2GaCo5 (PBE)

Data for a geometry-optimized Pa2Be2GaCo5 structure.

DFT formation energy, meV/atom: -367

Cell and atoms, written as CIF:
```
data_Pa2Be2GaCo5
_symmetry_space_group_name_H-M 'P 4/m b m'
_symmetry_Int_Tables_number 127
_symmetry_space_group_name_Hall '-P 4 2ab'
_cell_length_a 8.8928
_cell_length_b 8.8928
_cell_length_c 3.3256
_cell_angle_alpha 90.00
_cell_angle_beta 90.00
_cell_angle_gamma 90.00
loop_
_atom_site_label
_atom_site_type_symbol
_atom_site_fract_x
_atom_site_fract_y
_atom_site_fract_z
_atom_site_occupancy
Pa1 Pa 0.1815 0.3185 0.0000 1
Be1 Be 0.1131 0.6131 0.0000 1
Ga1 Ga 0.0000 0.0000 0.0000 1
Co1 Co 0.0000 0.5000 0.5000 1
Co2 Co 0.0711 0.7812 0.5000 1
```

No. 12
## BeGaCo2Pd (PBE)

Data for a geometry-optimized BeGaCo2Pd structure.

DFT formation energy, meV/atom: 185

Cell and atoms, written as CIF:
```
data_BeGaCo2Pd
_symmetry_space_group_name_H-M 'P 4/m m m'
_symmetry_Int_Tables_number 123
_symmetry_space_group_name_Hall '-P 4 2'
_cell_length_a 3.9281
_cell_length_b 3.9281
_cell_length_c 4.1005
_cell_angle_alpha 90.00
_cell_angle_beta 90.00
_cell_angle_gamma 90.00
loop_
_atom_site_label
_atom_site_type_symbol
_atom_site_fract_x
_atom_site_fract_y
_atom_site_fract_z
_atom_site_occupancy
Be1 Be 0.0000 0.0000 0.0000 1
Ga1 Ga 0.5000 0.5000 0.5000 1
Co1 Co 0.0000 0.5000 0.0000 1
Pd1 Pd 0.0000 0.0000 0.5000 1
```

No. 13
## PmBeGa2Co2 (PBE)

Data for a geometry-optimized PmBeGa2Co2 structure.

DFT formation energy, meV/atom: -347

Cell and atoms, written as CIF:
```
data_PmBeGa2Co2
_symmetry_space_group_name_H-M 'P 4/m m m'
_symmetry_Int_Tables_number 123
_symmetry_space_group_name_Hall '-P 4 2'
_cell_length_a 4.0665
_cell_length_b 4.0665
_cell_length_c 5.5481
_cell_angle_alpha 90.00
_cell_angle_beta 90.00
_cell_angle_gamma 90.00
loop_
_atom_site_label
_atom_site_type_symbol
_atom_site_fract_x
_atom_site_fract_y
_atom_site_fract_z
_atom_site_occupancy
Pm1 Pm 0.0000 0.0000 0.0000 1
Be1 Be 0.0000 0.0000 0.5000 1
Ga1 Ga 0.5000 0.5000 0.2451 1
Co1 Co 0.0000 0.5000 0.5000 1
```

No. 14
## RbBeGaCo2 (PBE)

Data for a geometry-optimized RbBeGaCo2 structure.

DFT formation energy, meV/atom: 2475

Cell and atoms, written as CIF:
```
data_RbBeGaCo2
_symmetry_space_group_name_H-M 'P 4/m m m'
_symmetry_Int_Tables_number 123
_symmetry_space_group_name_Hall '-P 4 2'
_cell_length_a 4.6488
_cell_length_b 4.6488
_cell_length_c 4.9417
_cell_angle_alpha 90.00
_cell_angle_beta 90.00
_cell_angle_gamma 90.00
loop_
_atom_site_label
_atom_site_type_symbol
_atom_site_fract_x
_atom_site_fract_y
_atom_site_fract_z
_atom_site_occupancy
Rb1 Rb 0.0000 0.0000 0.0000 1
Be1 Be 0.0000 0.0000 0.5000 1
Ga1 Ga 0.5000 0.5000 0.5000 1
Co1 Co 0.0000 0.5000 0.0000 1
```

No. 15
## BeGaCoRh (PBE)

Data for a geometry-optimized BeGaCoRh structure.

DFT formation energy, meV/atom: -450

Cell and atoms, written as CIF:
```
data_BeGaCoRh
_symmetry_space_group_name_H-M 'F -4 3 m'
_symmetry_Int_Tables_number 216
_symmetry_space_group_name_Hall 'F -4 2 3'
_cell_length_a 5.6974
_cell_length_b 5.6974
_cell_length_c 5.6974
_cell_angle_alpha 90.00
_cell_angle_beta 90.00
_cell_angle_gamma 90.00
loop_
_atom_site_label
_atom_site_type_symbol
_atom_site_fract_x
_atom_site_fract_y
_atom_site_fract_z
_atom_site_occupancy
Be1 Be 0.0000 0.0000 0.0000 1
Ga1 Ga 0.0000 0.0000 0.5000 1
Co1 Co 0.2500 0.2500 0.2500 1
Rh1 Rh 0.2500 0.2500 0.7500 1
```

No. 16
## BeGa2CoRu (PBE)

Data for a geometry-optimized BeGa2CoRu structure.

DFT formation energy, meV/atom: 510

Cell and atoms, written as CIF:
```
data_BeGa2CoRu
_symmetry_space_group_name_H-M 'P 4/m m m'
_symmetry_Int_Tables_number 123
_symmetry_space_group_name_Hall '-P 4 2'
_cell_length_a 4.1941
_cell_length_b 4.1941
_cell_length_c 3.7256
_cell_angle_alpha 90.00
_cell_angle_beta 90.00
_cell_angle_gamma 90.00
loop_
_atom_site_label
_atom_site_type_symbol
_atom_site_fract_x
_atom_site_fract_y
_atom_site_fract_z
_atom_site_occupancy
Be1 Be 0.0000 0.0000 0.0000 1
Ga1 Ga 0.0000 0.5000 0.0000 1
Co1 Co 0.0000 0.0000 0.5000 1
Ru1 Ru 0.5000 0.5000 0.5000 1
```

No. 17
## Sc2Be2GaCo5 (PBE)

Data for a geometry-optimized Sc2Be2GaCo5 structure.

DFT formation energy, meV/atom: -341

Cell and atoms, written as CIF:
```
data_Sc2Be2GaCo5
_symmetry_space_group_name_H-M 'P 4/m b m'
_symmetry_Int_Tables_number 127
_symmetry_space_group_name_Hall '-P 4 2ab'
_cell_length_a 8.8920
_cell_length_b 8.8920
_cell_length_c 3.0246
_cell_angle_alpha 90.00
_cell_angle_beta 90.00
_cell_angle_gamma 90.00
loop_
_atom_site_label
_atom_site_type_symbol
_atom_site_fract_x
_atom_site_fract_y
_atom_site_fract_z
_atom_site_occupancy
Sc1 Sc 0.1766 0.3234 0.0000 1
Be1 Be 0.1201 0.6201 0.0000 1
Ga1 Ga 0.0000 0.0000 0.0000 1
Co1 Co 0.0000 0.5000 0.5000 1
Co2 Co 0.0660 0.7865 0.5000 1
```

No. 18
## TbBeGa2Co2 (PBE)

Data for a geometry-optimized TbBeGa2Co2 structure.

DFT formation energy, meV/atom: -353

Cell and atoms, written as CIF:
```
data_TbBeGa2Co2
_symmetry_space_group_name_H-M 'P 4/m m m'
_symmetry_Int_Tables_number 123
_symmetry_space_group_name_Hall '-P 4 2'
_cell_length_a 4.0424
_cell_length_b 4.0424
_cell_length_c 5.4567
_cell_angle_alpha 90.00
_cell_angle_beta 90.00
_cell_angle_gamma 90.00
loop_
_atom_site_label
_atom_site_type_symbol
_atom_site_fract_x
_atom_site_fract_y
_atom_site_fract_z
_atom_site_occupancy
Tb1 Tb 0.0000 0.0000 0.0000 1
Be1 Be 0.0000 0.0000 0.5000 1
Ga1 Ga 0.5000 0.5000 0.2410 1
Co1 Co 0.0000 0.5000 0.5000 1
```

No. 19
## Th2BeGaCo6 (PBE)

Data for a geometry-optimized Th2BeGaCo6 structure.

DFT formation energy, meV/atom: -45

Cell and atoms, written as CIF:
```
data_Th2BeGaCo6
_symmetry_space_group_name_H-M 'F m -3 m'
_symmetry_Int_Tables_number 225
_symmetry_space_group_name_Hall '-F 4 2 3'
_cell_length_a 8.4348
_cell_length_b 8.4348
_cell_length_c 8.4348
_cell_angle_alpha 90.00
_cell_angle_beta 90.00
_cell_angle_gamma 90.00
loop_
_atom_site_label
_atom_site_type_symbol
_atom_site_fract_x
_atom_site_fract_y
_atom_site_fract_z
_atom_site_occupancy
Th1 Th 0.2500 0.2500 0.2500 1
Be1 Be 0.0000 0.0000 0.0000 1
Ga1 Ga 0.0000 0.0000 0.5000 1
Co1 Co 0.0000 0.0000 0.2341 1
```

No. 20
## TmBeGa2Co2 (PBE)

Data for a geometry-optimized TmBeGa2Co2 structure.

DFT formation energy, meV/atom: -337

Cell and atoms, written as CIF:
```
data_TmBeGa2Co2
_symmetry_space_group_name_H-M 'P 4/m m m'
_symmetry_Int_Tables_number 123
_symmetry_space_group_name_Hall '-P 4 2'
_cell_length_a 4.0257
_cell_length_b 4.0257
_cell_length_c 5.3897
_cell_angle_alpha 90.00
_cell_angle_beta 90.00
_cell_angle_gamma 90.00
loop_
_atom_site_label
_atom_site_type_symbol
_atom_site_fract_x
_atom_site_fract_y
_atom_site_fract_z
_atom_site_occupancy
Tm1 Tm 0.0000 0.0000 0.0000 1
Be1 Be 0.0000 0.0000 0.5000 1
Ga1 Ga 0.5000 0.5000 0.2383 1
Co1 Co 0.0000 0.5000 0.5000 1
```